# 1
AcNd2Dy5Y | GGA-PBE | optimized geometry

Output
Density of states at the Fermi level: 1.08 states/eV per atom
Space-group type: No. 140
Magnetization: 0.00 μB per formula unit
E_form: 255.8 meV/atom

Cell: 10.0219 10.0219 10.0219 Å, 127.41 127.41 77.59°
Sites, in units of the cell vectors:
Ac (0.2500, 0.2500, 0.0000)
Ac (0.7500, 0.7500, 0.0000)
Nd (0.1166, 0.6166, 0.7333)
Nd (0.3834, 0.1166, 0.5000)
Nd (0.6166, 0.8834, 0.5000)
Nd (0.8834, 0.3834, 0.2667)
Dy (0.0000, 0.0000, 0.0000)
Dy (0.0745, 0.1598, 0.5000)
Dy (0.1598, 0.6598, 0.0854)
Dy (0.3402, 0.4255, 0.5000)
Dy (0.4255, 0.9255, 0.0854)
Dy (0.5000, 0.5000, 0.0000)
Dy (0.5745, 0.0745, 0.9146)
Dy (0.6598, 0.5745, 0.5000)
Dy (0.8402, 0.3402, 0.9146)
Dy (0.9255, 0.8402, 0.5000)
Y (0.2500, 0.7500, 0.5000)
Y (0.7500, 0.2500, 0.5000)

=====

# 2
Ba2CuBi2 | GGA-PBE | optimized geometry

Output
Density of states at the Fermi level: 0.68 states/eV per atom
Space-group type: No. 127
Magnetization: 0.00 μB per formula unit
E_form: -403.7 meV/atom

Cell: 8.1254 8.1254 5.3817 Å, 90.00 90.00 90.00°
Sites, in units of the cell vectors:
Ba (0.1722, 0.3278, 0.0000)
Ba (0.3278, 0.8278, 0.0000)
Ba (0.6722, 0.1722, 0.0000)
Ba (0.8278, 0.6722, 0.0000)
Cu (0.0000, 0.0000, 0.5000)
Cu (0.5000, 0.5000, 0.5000)
Bi (0.1394, 0.6394, 0.5000)
Bi (0.3606, 0.1394, 0.5000)
Bi (0.6394, 0.8606, 0.5000)
Bi (0.8606, 0.3606, 0.5000)

=====

# 3
MgTlPd14 | GGA-PBE | optimized geometry

Output
Density of states at the Fermi level: 1.77 states/eV per atom
Space-group type: No. 38
Magnetization: 0.00 μB per formula unit
E_form: -133.0 meV/atom

Cell: 9.2068 5.5900 5.5900 Å, 61.76 90.00 90.00°
Sites, in units of the cell vectors:
Mg (0.0000, 0.0000, 0.0000)
Tl (0.0000, 0.5016, 0.5016)
Pd (0.0000, 0.0027, 0.4994)
Pd (0.0000, 0.4994, 0.0027)
Pd (0.2497, 0.8250, 0.8250)
Pd (0.2509, 0.3220, 0.8281)
Pd (0.2509, 0.8281, 0.3220)
Pd (0.2531, 0.3243, 0.3243)
Pd (0.5000, 0.1513, 0.6535)
Pd (0.5000, 0.1532, 0.1532)
Pd (0.5000, 0.6528, 0.6528)
Pd (0.5000, 0.6535, 0.1513)
Pd (0.7469, 0.3243, 0.3243)
Pd (0.7491, 0.3220, 0.8281)
Pd (0.7491, 0.8281, 0.3220)
Pd (0.7503, 0.8250, 0.8250)